CuHg2Os: single point on PBEsol structure, SCAN.

Cell lengths 4.7272, 4.7272, 3.0036 Å; angles 90.00, 90.00, 104.21 degrees
Sites, in units of the cell vectors:
Cu  0.0000  0.0000  0.0000
Hg  0.0000  0.5000  0.5000
Hg  0.5000  0.0000  0.5000
Os  0.5000  0.5000  0.0000

Computed properties:
- DFT formation energy: 668 meV/atom
- Total magnetic moment: 0.0 μB/cell
- VASP energy: -55.184 eV per atom

=====

TaSi2Ir: single point on PBEsol structure, SCAN.

Cell lengths 2.8278, 2.8278, 7.2117 Å; angles 90.00, 90.00, 99.92 degrees
Sites, in units of the cell vectors:
Ta  0.0000  0.0000  0.0000
Si  0.5000  0.5000  0.2674
Si  0.5000  0.5000  0.7326
Ir  0.0000  0.0000  0.5000

Computed properties:
- Formation energy without anion corrections: -105.3 kJ/mol of formula units
- Total magnetic moment: 0.0 μB/cell
- VASP energy: -39.701 eV per atom

=====

CdOsCl3: single point on PBEsol structure, SCAN.

Cell lengths 5.0698, 5.0698, 5.0698 Å; angles 90.00, 90.00, 90.00 degrees
Sites, in units of the cell vectors:
Cd  0.0000  0.0000  0.0000
Os  0.5000  0.5000  0.5000
Cl  0.0000  0.0000  0.5000
Cl  0.0000  0.5000  0.0000
Cl  0.5000  0.0000  0.0000

Computed properties:
- Formation energy without anion corrections: 296.3 kJ/mol of formula units
- Total magnetic moment: 5.0 μB/cell
- VASP energy: -24.631 eV per atom

=====

Ca4RuRh: single point on PBEsol structure, SCAN.

Cell lengths 5.7664, 5.7664, 5.7664 Å; angles 60.00, 60.00, 60.00 degrees
Sites, in units of the cell vectors:
Ca  0.1249  0.1249  0.1249
Ca  0.1249  0.1249  0.6252
Ca  0.1249  0.6252  0.1249
Ca  0.6252  0.1249  0.1249
Ru  0.5000  0.5000  0.5000
Rh  0.7500  0.7500  0.7500

Computed properties:
- DFT formation energy: 1078 meV/atom
- Total magnetic moment: 1.0 μB/cell
- VASP energy: -16.797 eV per atom

=====

CaYSeN2: single point on PBEsol structure, SCAN.

Cell lengths 4.4082, 4.4082, 5.5485 Å; angles 90.00, 90.00, 90.00 degrees
Sites, in units of the cell vectors:
Ca  0.0000  0.0000  0.0000
Y  0.5000  0.5000  0.5000
Se  0.5000  0.5000  0.0000
N  0.0000  0.5000  0.5000
N  0.5000  0.0000  0.5000

Computed properties:
- Formation energy without anion corrections: -189.0 kJ/mol of formula units
- Total magnetic moment: 3.0 μB/cell
- VASP energy: -15.625 eV per atom

=====

Na2CaPbBr: single point on PBEsol structure, SCAN.

Cell lengths 5.2598, 5.2598, 6.3681 Å; angles 90.00, 90.00, 90.00 degrees
Sites, in units of the cell vectors:
Na  0.0000  0.5000  0.0000
Na  0.5000  0.0000  0.0000
Ca  0.0000  0.0000  0.5000
Pb  0.5000  0.5000  0.5000
Br  0.5000  0.5000  0.0000

Computed properties:
- Formation energy without anion corrections: -198.0 kJ/mol of formula units
- Total magnetic moment: 0.5 μB/cell
- VASP energy: -23.077 eV per atom

=====

MgTlW2: single point on PBEsol structure, SCAN.

Cell lengths 4.6023, 4.6023, 4.6023 Å; angles 119.80, 119.80, 90.34 degrees
Sites, in units of the cell vectors:
Mg  0.0000  0.0000  0.0000
Tl  0.7500  0.2500  0.5000
W  0.2500  0.7500  0.5000
W  0.5000  0.5000  0.0000

Computed properties:
- DFT formation energy: 712 meV/atom
- Total magnetic moment: 0.0 μB/cell
- VASP energy: -53.465 eV per atom

=====

Tl2ZnPb: single point on PBEsol structure, SCAN.

Cell lengths 3.3915, 5.0117, 6.2526 Å; angles 90.00, 104.41, 90.00 degrees
Sites, in units of the cell vectors:
Tl  0.1160  0.0000  0.2672
Tl  0.8840  0.0000  0.7328
Zn  0.5000  0.5000  0.5000
Pb  0.5000  0.5000  0.0000

Computed properties:
- DFT formation energy: 164 meV/atom
- Total magnetic moment: 0.0 μB/cell
- VASP energy: -58.340 eV per atom